(1)
Sr3V2CdO8 | PBE with a Hubbard U | relaxed

Geometry as extended XYZ:
```
14
Lattice="5.607 0.000 0.000 -2.804 4.856 0.000 0.000 0.000 9.558" Properties=species:S:1:pos:R:3 pbc="T T T"
Cd 0.000 0.000 4.779
Sr 0.000 3.237 7.017
Sr 2.804 1.619 2.541
Sr 0.000 0.000 0.000
O -1.400 4.045 2.124
O 1.400 4.045 2.124
O 0.000 1.621 2.124
O 2.804 1.619 0.243
O 0.000 3.237 9.315
O 2.804 3.235 7.434
O 1.404 0.811 7.434
O 4.203 0.811 7.434
V 0.000 3.237 1.509
V 2.804 1.619 8.049
```

Its total energy is -0.2403 hartree per atom. Its symmetry is P-3m1. As for the spin magnetization: 0.00 Bohr magnetons per cell.

=====

(2)
SrCdW2O8 | PBE with a Hubbard U | relaxed

Geometry as extended XYZ:
```
12
Lattice="-0.967 -4.013 4.845 0.496 -2.843 -5.673 5.515 2.983 1.099" Properties=species:S:1:pos:R:3 pbc="T T T"
O 4.330 -1.338 -0.591
O 0.948 -3.363 3.493
O 0.996 -2.310 -1.162
O 4.198 0.619 1.696
O 3.212 -3.311 1.770
O 1.376 -0.927 1.779
O 0.565 -4.717 0.598
O 3.089 -1.315 4.018
W 2.156 -2.229 2.765
W -0.235 -3.428 -0.414
Sr 0.000 0.000 0.000
Cd 2.888 -1.644 -2.494
```

Its total energy is -0.2476 hartree per atom. Its symmetry is I-4m2. As for the spin magnetization: 0.00 Bohr magnetons per cell.

=====

(3)
Sr2CdWO6 | PBE with a Hubbard U | relaxed

Geometry as extended XYZ:
```
20
Lattice="-1.949 -1.518 5.425 -4.958 -1.928 -2.321 -1.633 -9.425 -3.225" Properties=species:S:1:pos:R:3 pbc="T T T"
Cd -3.454 -1.723 1.552
Cd -3.295 -5.676 -2.773
O -3.039 -6.616 2.096
O -1.576 -1.113 0.334
O -2.147 -1.845 3.498
O -6.964 -11.758 -0.456
O -2.646 -6.023 -0.574
O -3.049 -3.980 1.276
O -3.825 -3.517 -2.148
O -6.393 -11.026 -3.619
O -4.715 -9.354 2.027
O -5.491 -8.891 -1.397
O -5.894 -6.848 0.453
O -5.501 -6.255 -2.217
W -1.791 -5.472 1.100
W 0.000 0.000 0.000
Sr -3.460 -4.248 3.812
Sr -5.081 -8.623 -3.933
Sr -3.484 -8.343 -0.006
Sr -5.056 -4.528 -0.116
```

Its total energy is -0.2374 hartree per atom. Its symmetry is P2_1/c. As for the spin magnetization: 0.00 Bohr magnetons per cell.

=====

(4)
SrCd2WO6 | PBE with a Hubbard U | relaxed

Geometry as extended XYZ:
```
20
Lattice="-0.757 3.827 -4.225 -5.825 -0.479 0.609 0.086 6.182 5.687" Properties=species:S:1:pos:R:3 pbc="T T T"
O -4.442 3.603 1.199
O -2.054 5.927 0.873
O -5.455 5.478 2.960
O -2.324 5.089 4.246
O -5.539 5.974 0.216
O -2.518 8.459 2.714
O -4.172 4.440 -2.175
O -1.374 0.951 0.106
O -1.041 4.052 -0.888
O -0.957 3.556 1.855
O -5.122 8.579 1.966
O -3.978 1.070 -0.643
W -0.335 5.005 0.731
W -2.913 -0.240 0.305
Cd -3.102 3.169 -0.530
Cd -0.118 4.558 4.158
Cd -6.378 4.972 -2.086
Cd -3.394 6.361 2.602
Sr -2.870 2.851 3.148
Sr -0.378 1.913 -2.113
```

Its total energy is -0.2166 hartree per atom. Its symmetry is P2_1/c. As for the spin magnetization: 0.00 Bohr magnetons per cell.